{
  "formula": "Er2AlFeC",
  "functional": "PBE",
  "state": "optimized geometry",
  "cell": [[4.9115, 0.0000, 0.0000], [0.0000, 4.9115, 0.0000], [0.0000, 0.0000, 3.6826]],
  "species": ["Er", "Er", "Al", "Fe", "C"],
  "fractional_positions": [[0.0000, 0.5000, 0.0000], [0.5000, 0.0000, 0.0000], [0.0000, 0.0000, 0.5000], [0.5000, 0.5000, 0.5000], [0.5000, 0.5000, 0.0000]],
  "total_energy_ev_per_atom": -6.42,
  "m_tot_mub_per_fu": 0.39,
  "volume_a3_per_cell": 88.8,
  "space_group": "P4/mmm"
}

=====

{
  "formula": "GdEr2AlC",
  "functional": "PBE",
  "state": "optimized geometry",
  "cell": [[4.8303, 0.0000, 0.0000], [0.0000, 4.8303, 0.0000], [0.0000, 0.0000, 4.9378]],
  "species": ["Gd", "Er", "Er", "Al", "C"],
  "fractional_positions": [[0.0000, 0.0000, 0.0000], [0.0000, 0.5000, 0.5000], [0.5000, 0.0000, 0.5000], [0.5000, 0.5000, 0.0000], [0.0000, 0.0000, 0.5000]],
  "total_energy_ev_per_atom": -5.75,
  "m_tot_mub_per_fu": 0.01,
  "volume_a3_per_cell": 115.2,
  "space_group": "P4/mmm"
}

=====

{
  "formula": "HoErAlC",
  "functional": "PBE",
  "state": "optimized geometry",
  "cell": [[3.5332, 0.0000, 0.0000], [-1.7666, 3.0599, 0.0000], [0.0000, 0.0000, 15.8433]],
  "species": ["Ho", "Ho", "Er", "Er", "Al", "Al", "C", "C"],
  "fractional_positions": [[0.3333, 0.6667, 0.0857], [0.6667, 0.3333, 0.9143], [0.3333, 0.6667, 0.4151], [0.6667, 0.3333, 0.5849], [0.3333, 0.6667, 0.7491], [0.6667, 0.3333, 0.2509], [0.0000, 0.0000, 0.0000], [0.0000, 0.0000, 0.5000]],
  "total_energy_ev_per_atom": -5.79,
  "m_tot_mub_per_fu": 0.25,
  "volume_a3_per_cell": 171.3,
  "space_group": "P-3m1"
}

=====

{
  "formula": "HoErAlC",
  "functional": "PBE",
  "state": "optimized geometry",
  "cell": [[3.5332, 0.0000, 0.0000], [-1.7666, 3.0599, 0.0000], [0.0000, 0.0000, 15.8390]],
  "species": ["Ho", "Ho", "Er", "Er", "Al", "Al", "C", "C"],
  "fractional_positions": [[0.0000, 0.0000, 0.1652], [0.0000, 0.0000, 0.8348], [0.3333, 0.6667, 0.3359], [0.3333, 0.6667, 0.6641], [0.0000, 0.0000, 0.5000], [0.3333, 0.6667, 0.0000], [0.6667, 0.3333, 0.2506], [0.6667, 0.3333, 0.7494]],
  "total_energy_ev_per_atom": -5.79,
  "m_tot_mub_per_fu": 0.24,
  "volume_a3_per_cell": 171.2,
  "space_group": "P-6m2"
}